1.
! Mg8TlAu2, optimized geometry, DFT PBE; values from VASP
! Calculated density ... 5.32 Mg/m³
! Offset from the most stable computed form ... 21 meV/atom
! Calculated formation energy ... -256 meV/atom
&SYSTEM
  ibrav = 0, nat = 11, ntyp = 3
/
ATOMIC_SPECIES
Mg 24.30 Mg.upf
Au 196.97 Au.upf
Tl 204.38 Tl.upf
CELL_PARAMETERS angstrom
5.090 -0.125 -0.187
-1.021 7.397 -0.223
-1.021 -3.055 6.740
ATOMIC_POSITIONS crystal
Mg 0.300 0.607 0.607
Mg 0.500 0.241 0.759
Mg 0.909 0.925 0.675
Mg 0.909 0.675 0.925
Mg 0.700 0.393 0.393
Mg 0.091 0.075 0.325
Mg 0.091 0.325 0.075
Au 0.000 0.690 0.310
Mg 0.500 0.759 0.241
Tl 0.500 0.000 0.000
Au 0.000 0.310 0.690

---

2.
! Mg2TlAu, optimized geometry, DFT PBE; values from VASP
! Calculated density ... 8.81 Mg/m³
! Calculated formation energy ... -193 meV/atom
&SYSTEM
  ibrav = 0, nat = 4, ntyp = 3
/
ATOMIC_SPECIES
Mg 24.30 Mg.upf
Tl 204.38 Tl.upf
Au 196.97 Au.upf
CELL_PARAMETERS angstrom
5.521 -0.072 0.000
2.257 5.039 0.000
-3.889 -2.483 3.032
ATOMIC_POSITIONS crystal
Mg 0.250 0.750 0.500
Mg 0.000 0.000 0.000
Tl 0.500 0.500 0.000
Au 0.750 0.250 0.500

---

3.
! Mg3TlAu, optimized geometry, DFT PBE; values from VASP
! Calculated density ... 5.77 Mg/m³
! Offset from the most stable computed form ... 96 meV/atom
! Calculated formation energy ... -156 meV/atom
&SYSTEM
  ibrav = 0, nat = 5, ntyp = 3
/
ATOMIC_SPECIES
Au 196.97 Au.upf
Mg 24.30 Mg.upf
Tl 204.38 Tl.upf
CELL_PARAMETERS angstrom
5.149 0.000 0.000
0.000 5.149 0.000
0.000 0.000 5.149
ATOMIC_POSITIONS crystal
Au 0.000 0.000 0.000
Mg 0.000 0.000 0.500
Mg 0.500 0.000 0.000
Mg 0.000 0.500 0.000
Tl 0.500 0.500 0.500

---

4.
! MgTlAu2, optimized geometry, DFT PBE; values from VASP
! Calculated density ... 12.65 Mg/m³
! Calculated formation energy ... -142 meV/atom
&SYSTEM
  ibrav = 0, nat = 4, ntyp = 3
/
ATOMIC_SPECIES
Mg 24.30 Mg.upf
Tl 204.38 Tl.upf
Au 196.97 Au.upf
CELL_PARAMETERS angstrom
4.872 0.000 0.000
2.436 4.219 0.000
2.436 1.406 3.978
ATOMIC_POSITIONS crystal
Mg 0.500 0.500 0.500
Tl 0.750 0.750 0.750
Au 0.250 0.250 0.250
Au 0.000 0.000 0.000

---

5.
! Mg2TlAu, optimized geometry, DFT PBE; values from VASP
! Calculated density ... 8.25 Mg/m³
! Calculated formation energy ... -239 meV/atom
&SYSTEM
  ibrav = 0, nat = 4, ntyp = 3
/
ATOMIC_SPECIES
Tl 204.38 Tl.upf
Au 196.97 Au.upf
Mg 24.30 Mg.upf
CELL_PARAMETERS angstrom
-2.674 -4.541 -3.790
2.297 -5.919 -1.350
-1.889 4.428 4.353
ATOMIC_POSITIONS crystal
Tl 0.460 0.460 0.000
Au 0.234 0.734 0.500
Mg 0.756 0.256 0.500
Mg 0.049 0.049 0.000

---

6.
! MgTl4Au, optimized geometry, DFT PBE; values from VASP
! Calculated density ... 9.65 Mg/m³
! Calculated formation energy ... 265 meV/atom
&SYSTEM
  ibrav = 0, nat = 6, ntyp = 3
/
ATOMIC_SPECIES
Tl 204.38 Tl.upf
Mg 24.30 Mg.upf
Au 196.97 Au.upf
CELL_PARAMETERS angstrom
0.000 4.471 4.471
4.471 0.000 4.471
4.471 4.471 0.000
ATOMIC_POSITIONS crystal
Tl 0.375 0.375 0.375
Mg 0.000 0.000 0.000
Tl 0.375 0.375 0.874
Tl 0.375 0.874 0.375
Au 0.750 0.750 0.750
Tl 0.874 0.375 0.375

---

7.
! MgTlAu2, optimized geometry, DFT PBE; values from VASP
! Calculated density ... 12.82 Mg/m³
! Calculated formation energy ... -186 meV/atom
&SYSTEM
  ibrav = 0, nat = 4, ntyp = 3
/
ATOMIC_SPECIES
Tl 204.38 Tl.upf
Au 196.97 Au.upf
Mg 24.30 Mg.upf
CELL_PARAMETERS angstrom
5.299 0.001 0.000
1.784 4.990 0.000
-3.542 -2.495 3.051
ATOMIC_POSITIONS crystal
Tl 0.750 0.250 0.500
Au 0.250 0.750 0.500
Mg 0.500 0.500 0.000
Au 0.000 0.000 0.000

---

8.
! Mg2TlAu, optimized geometry, DFT PBE; values from VASP
! Calculated density ... 8.11 Mg/m³
! Calculated formation energy ... -93 meV/atom
&SYSTEM
  ibrav = 0, nat = 4, ntyp = 3
/
ATOMIC_SPECIES
Mg 24.30 Mg.upf
Au 196.97 Au.upf
Tl 204.38 Tl.upf
CELL_PARAMETERS angstrom
-9.379 0.980 2.668
-9.758 0.661 -0.622
-9.496 -2.048 1.293
ATOMIC_POSITIONS crystal
Mg 0.251 0.251 0.251
Au 0.744 0.744 0.744
Mg 0.010 0.010 0.010
Tl 0.496 0.496 0.496

---

9.
! MgTlAu, optimized geometry, DFT PBE; values from VASP
! Calculated density ... 10.43 Mg/m³
! Calculated formation energy ... -222 meV/atom
&SYSTEM
  ibrav = 0, nat = 3, ntyp = 3
/
ATOMIC_SPECIES
Mg 24.30 Mg.upf
Tl 204.38 Tl.upf
Au 196.97 Au.upf
CELL_PARAMETERS angstrom
-5.120 0.326 -3.645
-4.605 -2.999 -3.068
-2.662 -0.043 2.137
ATOMIC_POSITIONS crystal
Mg 0.362 0.362 0.638
Tl 0.660 0.660 0.340
Au 0.978 0.978 0.022

---

10.
! Mg2Tl2Au, optimized geometry, DFT PBE; values from VASP
! Calculated density ... 8.29 Mg/m³
! Offset from the most stable computed form ... 264 meV/atom
! Calculated formation energy ... 156 meV/atom
&SYSTEM
  ibrav = 0, nat = 5, ntyp = 3
/
ATOMIC_SPECIES
Au 196.97 Au.upf
Mg 24.30 Mg.upf
Tl 204.38 Tl.upf
CELL_PARAMETERS angstrom
-2.364 -3.166 1.259
2.546 -2.660 -1.908
4.253 -3.493 6.036
ATOMIC_POSITIONS crystal
Au 0.000 0.000 0.000
Mg 0.590 0.590 0.819
Tl 0.250 0.750 0.500
Mg 0.410 0.410 0.181
Tl 0.750 0.250 0.500

---

11.
! Mg3TlAu, optimized geometry, DFT PBE; values from VASP
! Calculated density ... 7.08 Mg/m³
! Offset from the most stable computed form ... 0 meV/atom
! Calculated formation energy ... -252 meV/atom
&SYSTEM
  ibrav = 0, nat = 20, ntyp = 3
/
ATOMIC_SPECIES
Au 196.97 Au.upf
Mg 24.30 Mg.upf
Tl 204.38 Tl.upf
CELL_PARAMETERS angstrom
-7.562 -0.227 -0.408
0.474 -3.096 -7.068
3.554 -6.853 3.240
ATOMIC_POSITIONS crystal
Au 0.542 0.709 0.093
Mg 0.426 0.792 0.369
Mg 0.192 0.517 0.977
Mg 0.926 0.708 0.369
Mg 0.415 0.608 0.739
Au 0.458 0.291 0.907
Mg 0.585 0.392 0.261
Tl 0.733 0.047 0.369
Au 0.042 0.791 0.093
Mg 0.085 0.108 0.261
Mg 0.915 0.892 0.739
Au 0.958 0.209 0.907
Mg 0.074 0.292 0.631
Mg 0.692 0.983 0.977
Tl 0.233 0.453 0.369
Mg 0.308 0.017 0.023
Tl 0.767 0.547 0.631
Tl 0.267 0.953 0.631
Mg 0.574 0.208 0.631
Mg 0.808 0.483 0.023

---

12.
! Mg6TlAu, optimized geometry, DFT PBE; values from VASP
! Calculated density ... 5.34 Mg/m³
! Calculated formation energy ... -184 meV/atom
&SYSTEM
  ibrav = 0, nat = 8, ntyp = 3
/
ATOMIC_SPECIES
Mg 24.30 Mg.upf
Au 196.97 Au.upf
Tl 204.38 Tl.upf
CELL_PARAMETERS angstrom
4.404 0.000 0.000
0.000 4.404 0.000
0.000 0.000 8.766
ATOMIC_POSITIONS crystal
Mg 0.500 0.500 0.500
Mg 0.500 0.000 0.730
Mg 0.500 0.000 0.270
Mg 0.000 0.500 0.730
Au 0.000 0.000 0.500
Mg 0.000 0.500 0.270
Tl 0.000 0.000 0.000
Mg 0.500 0.500 0.000

---

13.
! Mg4TlAu2, optimized geometry, DFT PBE; values from VASP
! Calculated density ... 7.66 Mg/m³
! Calculated formation energy ... -356 meV/atom
&SYSTEM
  ibrav = 0, nat = 7, ntyp = 3
/
ATOMIC_SPECIES
Au 196.97 Au.upf
Mg 24.30 Mg.upf
Tl 204.38 Tl.upf
CELL_PARAMETERS angstrom
-1.875 3.972 1.628
-4.250 -0.052 1.969
1.258 -0.039 8.284
ATOMIC_POSITIONS crystal
Au 0.245 0.245 0.265
Mg 0.389 0.389 0.832
Tl 0.000 0.000 0.000
Mg 0.131 0.131 0.607
Mg 0.869 0.869 0.393
Au 0.755 0.755 0.735
Mg 0.611 0.611 0.168

---

14.
! MgTlAu2, optimized geometry, DFT PBE; values from VASP
! Calculated density ... 11.65 Mg/m³
! Calculated formation energy ... -110 meV/atom
&SYSTEM
  ibrav = 0, nat = 8, ntyp = 3
/
ATOMIC_SPECIES
Tl 204.38 Tl.upf
Au 196.97 Au.upf
Mg 24.30 Mg.upf
CELL_PARAMETERS angstrom
7.871 0.000 0.000
0.000 7.871 0.000
3.935 3.935 2.865
ATOMIC_POSITIONS crystal
Tl 0.000 0.000 0.000
Au 0.875 0.854 0.750
Au 0.604 0.125 0.250
Tl 0.750 0.250 0.500
Au 0.375 0.396 0.750
Au 0.146 0.625 0.250
Mg 0.250 0.750 0.500
Mg 0.500 0.500 0.000

---

15.
! MgTlAu2, optimized geometry, DFT PBE; values from VASP
! Calculated density ... 11.28 Mg/m³
! Calculated formation energy ... -193 meV/atom
&SYSTEM
  ibrav = 0, nat = 4, ntyp = 3
/
ATOMIC_SPECIES
Mg 24.30 Mg.upf
Tl 204.38 Tl.upf
Au 196.97 Au.upf
CELL_PARAMETERS angstrom
4.432 -0.091 0.086
2.852 3.394 0.086
1.403 0.636 6.026
ATOMIC_POSITIONS crystal
Mg 0.750 0.750 0.750
Tl 0.250 0.250 0.250
Au 0.013 0.013 0.953
Au 0.487 0.487 0.547

---

16.
! Mg5Tl2Au2, optimized geometry, DFT PBE; values from VASP
! Calculated density ... 7.48 Mg/m³
! Calculated formation energy ... -294 meV/atom
&SYSTEM
  ibrav = 0, nat = 18, ntyp = 3
/
ATOMIC_SPECIES
Mg 24.30 Mg.upf
Au 196.97 Au.upf
Tl 204.38 Tl.upf
CELL_PARAMETERS angstrom
6.975 0.000 2.532
0.000 7.413 0.000
0.943 0.000 8.277
ATOMIC_POSITIONS crystal
Mg 0.544 0.837 0.234
Au 0.139 0.361 0.000
Mg 0.222 0.163 0.234
Mg 0.456 0.163 0.766
Mg 0.000 0.000 0.000
Mg 0.778 0.837 0.766
Au 0.361 0.861 0.000
Mg 0.044 0.663 0.234
Mg 0.500 0.500 0.000
Mg 0.956 0.337 0.766
Tl 0.715 0.500 0.569
Tl 0.285 0.500 0.431
Au 0.639 0.139 0.000
Mg 0.722 0.337 0.234
Mg 0.278 0.663 0.766
Au 0.861 0.639 0.000
Tl 0.215 0.000 0.569
Tl 0.785 0.000 0.431

---

17.
! MgTlAu2, optimized geometry, DFT PBE; values from VASP
! Calculated density ... 12.48 Mg/m³
! Calculated formation energy ... -205 meV/atom
&SYSTEM
  ibrav = 0, nat = 4, ntyp = 3
/
ATOMIC_SPECIES
Mg 24.30 Mg.upf
Au 196.97 Au.upf
Tl 204.38 Tl.upf
CELL_PARAMETERS angstrom
-3.867 -0.271 -3.348
-4.568 -2.312 -0.144
-3.184 3.243 1.369
ATOMIC_POSITIONS crystal
Mg 0.487 0.487 0.553
Au 0.006 0.006 0.989
Au 0.755 0.755 0.724
Tl 0.252 0.252 0.233

---

18.
! TmMgTlAu, optimized geometry, DFT PBE; values from VASP
! Calculated density ... 11.11 Mg/m³
! Calculated formation energy ... -486 meV/atom
&SYSTEM
  ibrav = 0, nat = 4, ntyp = 4
/
ATOMIC_SPECIES
Tl 204.38 Tl.upf
Mg 24.30 Mg.upf
Au 196.97 Au.upf
Tm 168.93 Tm.upf
CELL_PARAMETERS angstrom
5.009 0.000 0.000
2.504 4.338 0.000
2.504 1.446 4.090
ATOMIC_POSITIONS crystal
Tl 0.500 0.500 0.500
Mg 0.250 0.250 0.250
Au 0.000 0.000 0.000
Tm 0.750 0.750 0.750

---

19.
! MgTl2VAu, optimized geometry, DFT PBE; values from VASP
! Calculated density ... 8.14 Mg/m³
! Calculated formation energy ... 1072 meV/atom
&SYSTEM
  ibrav = 0, nat = 5, ntyp = 4
/
ATOMIC_SPECIES
Tl 204.38 Tl.upf
Mg 24.30 Mg.upf
V 50.94 V.upf
Au 196.97 Au.upf
CELL_PARAMETERS angstrom
-3.149 4.135 -1.155
-3.942 -2.694 1.103
0.296 1.638 5.057
ATOMIC_POSITIONS crystal
Tl 0.000 0.000 0.500
Mg 0.000 0.000 0.000
V 0.500 0.500 0.500
Au 0.000 0.500 0.000
Tl 0.500 0.000 0.000

---

20.
! MgTlV2Au, optimized geometry, DFT PBE; values from VASP
! Calculated density ... 6.54 Mg/m³
! Calculated formation energy ... 1286 meV/atom
&SYSTEM
  ibrav = 0, nat = 5, ntyp = 4
/
ATOMIC_SPECIES
Au 196.97 Au.upf
Mg 24.30 Mg.upf
V 50.94 V.upf
Tl 204.38 Tl.upf
CELL_PARAMETERS angstrom
-1.067 1.709 -4.724
2.449 -3.975 -1.991
-4.370 -2.698 0.011
ATOMIC_POSITIONS crystal
Au 0.500 0.500 0.500
Mg 0.000 0.500 0.000
V 0.500 0.000 0.000
V 0.000 0.000 0.500
Tl 0.000 0.000 0.000